# 1
Below is Na3Np2ZnS6 after structural relaxation, with properties calculated at the PBE level.

Output
Electronic total energy ... -5.833 eV per atom
Uncorrected formation energy ... -114 kJ per mole of atoms
Density of states at the Fermi level ... 17.129 states/eV per cell

Geometry as POSCAR:
```
Na3Np2ZnS6
1.0
6.772 -0.003 0.002
-3.387 5.864 0.002
-1.127 -1.952 6.666
Na Zn Np S
3 1 2 6
Direct
0.500 0.500 0.500 Na
0.835 0.165 0.500 Na
0.165 0.835 0.500 Na
0.000 0.000 0.000 Zn
0.333 0.667 0.000 Np
0.667 0.333 0.000 Np
0.749 0.749 0.221 S
0.599 0.926 0.777 S
0.251 0.251 0.779 S
0.074 0.401 0.223 S
0.926 0.599 0.777 S
0.401 0.074 0.223 S
```

# 2
Below is Al2TcCl after structural relaxation, with properties calculated at the PBE level.

Output
Energy relative to the lowest polymorph listed for this composition ... 366.4 meV/atom
Electronic total energy ... -4.981 eV per atom
Uncorrected formation energy ... -5 kJ per mole of atoms
Density of states at the Fermi level ... 1.904 states/eV per cell

Geometry as POSCAR:
```
Al2TcCl
1.0
4.739 0.000 0.000
0.000 2.803 0.022
0.000 0.510 4.941
Tc Al Cl
1 2 1
Direct
0.500 0.569 0.845 Tc
0.500 0.064 0.323 Al
0.000 0.049 0.925 Al
0.000 0.819 0.406 Cl
```

# 3
Below is Mg2ScCdN after structural relaxation, with properties calculated at the PBE level.

Output
Electronic total energy ... -4.317 eV per atom
Uncorrected formation energy ... -55 kJ per mole of atoms
Density of states at the Fermi level ... 1.977 states/eV per cell

Geometry as POSCAR:
```
Mg2ScCdN
1.0
4.488 0.000 0.000
0.000 4.488 0.000
0.000 0.000 4.300
Mg N Sc Cd
2 1 1 1
Direct
0.000 0.500 0.000 Mg
0.500 0.000 0.000 Mg
0.000 0.000 0.000 N
0.000 0.000 0.500 Sc
0.500 0.500 0.500 Cd
```